The following is a PBE calculation of crystalline Sm2H8Ru at its relaxed geometry, from Alexandria via LeMat-Bulk.

Calculated values
**Space group**: No. 12
**Density of states at the Fermi level**: 1.25 states/eV/cell
**Electronic total energy**: -49.7 eV per cell

a = 7.026 Å, b = 7.026 Å, c = 4.307 Å
α = 107.84°, β = 107.84°, γ = 30.15°
Positions (direct):
Sm (0.146, 0.146, 0.145)
Sm (0.854, 0.854, 0.855)
H (0.000, 0.000, 0.315)
H (0.000, 0.000, 0.685)
H (0.239, 0.239, 0.738)
H (0.390, 0.390, 0.167)
H (0.392, 0.392, 0.621)
H (0.608, 0.608, 0.379)
H (0.610, 0.610, 0.833)
H (0.761, 0.761, 0.262)
Ru (0.500, 0.500, 0.500)